[1]
DFT (GGA-PBE) results for an optimized crystal structure of NbMo2Br.

Cell lengths 7.5213, 7.5213, 5.2345 Å; angles 90.00, 90.00, 90.00 degrees
Space group I-42d (No. 122)
Unique sites:
1 Nb 0.0000 0.0000 0.0000 (multiplicity 4)
2 Mo 0.2456 0.2500 0.6250 (multiplicity 8)
3 Br 0.0000 0.0000 0.5000 (multiplicity 4)

* total magnetic moment: 0.00 μB/cell
* density: 8.18 g cm⁻³
* uncorrected formation energy: 4.48 eV per formula unit
* E_tot: -7.230 eV/atom

---

[2]
DFT (GGA-PBE) results for an optimized crystal structure of AsPb6Se2S3.

Cell lengths 7.4347, 12.9162, 7.3911 Å; angles 90.00, 109.50, 90.00 degrees
Space group C2/m (No. 12)
Unique sites:
1 As 0.0000 0.0000 0.0000 (multiplicity 2)
2 Pb 0.2397 0.0000 0.7441 (multiplicity 4)
3 Pb 0.2471 0.1624 0.2551 (multiplicity 8)
4 Se 0.0000 0.3328 0.0000 (multiplicity 4)
5 S 0.0000 0.1640 0.5000 (multiplicity 4)
6 S 0.0000 0.5000 0.5000 (multiplicity 2)

* total magnetic moment: 0.00 μB/cell
* density: 7.80 g cm⁻³
* uncorrected formation energy: -4.90 eV per formula unit
* E_tot: -4.263 eV/atom